A relaxed FeReAs2 crystal. Source: the Alexandria database, functional PBE-GGA.

a = 8.2065 Å, b = 8.2065 Å, c = 8.2065 Å
α = 151.13°, β = 151.13°, γ = 41.28°
Last column: nearest neighbours and their distance in Å.
Element x y z (fractional)
Fe 0.0000 0.0000 0.0000  4 As 2.36
Fe 0.7500 0.2500 0.5000  4 As 2.36
Re 0.2500 0.7500 0.5000  4 As 2.46
Re 0.5000 0.5000 0.0000  4 As 2.46
As 0.0956 0.6250 0.9706  2 Fe 2.36, 2 Re 2.46
As 0.3750 0.3456 0.4706  2 Fe 2.36, 2 Re 2.46
As 0.6544 0.1250 0.0294  2 Fe 2.36, 2 Re 2.46
As 0.8750 0.9044 0.5294  2 Fe 2.36, 2 Re 2.46

Summary:
As for the symmetry: I-42d, No. 122. The magnetic moment is 0.001 μB per cell. As for the formation enthalpy at 0 K: 0.467 eV per atom.

=====

A relaxed Fe2ReAs crystal. Source: the Alexandria database, functional PBE-GGA.

a = 3.7362 Å, b = 3.7362 Å, c = 3.8207 Å
α = 90.00°, β = 90.00°, γ = 90.00°
Last column: nearest neighbours and their distance in Å.
Element x y z (fractional)
Fe 0.0000 0.5000 0.0000  4 Fe 2.64, 4 As 2.67, 4 Re 2.67
Fe 0.5000 0.0000 0.0000  4 Fe 2.64, 4 As 2.67, 4 Re 2.67
Re 0.0000 0.0000 0.5000  4 As 2.64, 8 Fe 2.67
As 0.5000 0.5000 0.5000  4 Re 2.64, 8 Fe 2.67

Summary:
As for the symmetry: P4/mmm, No. 123. The magnetic moment is 5.314 μB per cell. As for the formation enthalpy at 0 K: 0.279 eV per atom.

=====

A relaxed FeReAs2 crystal. Source: the Alexandria database, functional PBE-GGA.

a = 4.7595 Å, b = 4.7595 Å, c = 4.7595 Å
α = 131.55°, β = 131.55°, γ = 70.95°
Last column: nearest neighbours and their distance in Å.
Element x y z (fractional)
Fe 0.0000 0.0000 0.0000  8 As 2.75-2.76, 4 Re 2.75
Re 0.2500 0.7500 0.5000  8 As 2.75-2.76, 4 Fe 2.75
As 0.5000 0.5000 0.0000  4 As 2.75, 4 Re 2.75, 4 Fe 2.76
As 0.7500 0.2500 0.5000  4 As 2.75, 4 Fe 2.75, 4 Re 2.76

Summary:
As for the symmetry: I-4m2, No. 119. The magnetic moment is 2.226 μB per cell. As for the formation enthalpy at 0 K: 0.507 eV per atom.

=====

A relaxed Fe2ReAs crystal. Source: the Alexandria database, functional PBE-GGA.

a = 4.6079 Å, b = 4.6079 Å, c = 2.7705 Å
α = 90.00°, β = 90.00°, γ = 114.23°
Last column: nearest neighbours and their distance in Å.
Element x y z (fractional)
Fe 0.0000 0.5000 0.0000  4 Fe 2.50-2.77, 4 As 2.69, 4 Re 2.69
Fe 0.5000 0.0000 0.0000  4 Fe 2.50-2.77, 4 As 2.69, 4 Re 2.69
Re 0.0000 0.0000 0.5000  2 As 2.50, 8 Fe 2.69, 2 Re 2.77
As 0.5000 0.5000 0.5000  2 Re 2.50, 8 Fe 2.69, 2 As 2.77

Summary:
As for the symmetry: Cmmm, No. 65. The magnetic moment is 4.232 μB per cell. As for the formation enthalpy at 0 K: 0.224 eV per atom.

=====

Q: Look up the magnetic moment of the fourth one.
A: 4.232 μB per cell